Record 1
# CoAgTeMo2 | the Alexandria database | PBE | optimized geometry
data_CoAgTeMo2
_cell_length_a 4.9362
_cell_length_b 4.9362
_cell_length_c 4.5276
_cell_angle_alpha 90.00
_cell_angle_beta 90.00
_cell_angle_gamma 90.00
_symmetry_space_group_name_H-M 'P 4/m m m'
_symmetry_Int_Tables_number 123
_symmetry_space_group_name_Hall '-P 4 2'
loop_
_atom_site_label
_atom_site_type_symbol
_atom_site_fract_x
_atom_site_fract_y
_atom_site_fract_z
Co1 Co 0.0000 0.0000 0.0000
Ag1 Ag 0.5000 0.5000 0.0000
Te1 Te 0.0000 0.0000 0.5000
Mo1 Mo 0.0000 0.5000 0.5000
# - Crystal system: tetragonal
# - Magnetization: 1.52 μB/f.u.
# - E_form (uncorrected): 1.672 eV/atom

---

Record 2
# TlCoAgMo2 | the Alexandria database | PBE | optimized geometry
data_TlCoAgMo2
_cell_length_a 5.2458
_cell_length_b 5.2458
_cell_length_c 5.0766
_cell_angle_alpha 90.00
_cell_angle_beta 90.00
_cell_angle_gamma 90.00
_symmetry_space_group_name_H-M 'P 4/m m m'
_symmetry_Int_Tables_number 123
_symmetry_space_group_name_Hall '-P 4 2'
loop_
_atom_site_label
_atom_site_type_symbol
_atom_site_fract_x
_atom_site_fract_y
_atom_site_fract_z
Tl1 Tl 0.0000 0.0000 0.0000
Co1 Co 0.5000 0.5000 0.5000
Ag1 Ag 0.0000 0.0000 0.5000
Mo1 Mo 0.0000 0.5000 0.0000
# - Crystal system: tetragonal
# - Magnetization: 8.83 μB/f.u.
# - E_form: 2.516 eV per atom